(1)
A relaxed structure of NaGe4Rh5, computed with PBE.

POSCAR file:
```
NaGe4Rh5
1.0
7.173 0.000 0.000
0.000 8.357 0.000
0.000 0.000 5.717
Na Ge Rh
2 8 10
direct
0.250 0.250 0.013
0.750 0.750 0.987
0.065 0.250 0.530
0.250 0.577 0.965
0.250 0.923 0.965
0.435 0.250 0.530
0.565 0.750 0.470
0.750 0.077 0.035
0.750 0.423 0.035
0.935 0.750 0.470
0.025 0.000 0.262
0.025 0.500 0.262
0.250 0.750 0.627
0.475 0.000 0.262
0.475 0.500 0.262
0.525 0.000 0.738
0.525 0.500 0.738
0.750 0.250 0.373
0.975 0.000 0.738
0.975 0.500 0.738
```

---

(2)
A relaxed structure of Pm2Ho2Ge3, computed with PBE.

POSCAR file:
```
Pm2Ho2Ge3
1.0
10.683 0.000 0.000
0.000 4.618 0.000
-1.548 0.000 8.013
Pm Ho Ge
4 4 6
direct
0.127 0.000 0.351
0.373 0.500 0.649
0.627 0.500 0.351
0.873 0.000 0.649
0.140 0.500 0.922
0.360 0.000 0.078
0.640 0.000 0.922
0.860 0.500 0.078
0.000 0.000 0.000
0.204 0.000 0.725
0.296 0.500 0.275
0.500 0.500 0.000
0.704 0.500 0.725
0.796 0.000 0.275
```

---

no.,formation energy from the elements (meV/atom),size of the total moment (μB/f.u.)
1,-304,0.00
2,-642,0.00